Entry 1:
Entry from OQMD via LeMat-Bulk: a geometry-optimized Dy3Si2H4O9 structure (PBE-GGA).

DFT total energy = -6.6854 eV/atom

a = 5.4612 Å, b = 5.4612 Å, c = 7.7727 Å
α = 90.00°, β = 90.00°, γ = 120.00°
Positions (direct):
1 Dy 0.0000 0.3272 0.0000
2 Dy 0.3272 0.0000 0.0000
3 Dy 0.6728 0.6728 0.0000
4 Si 0.3333 0.6667 0.6001
5 Si 0.6667 0.3333 0.6001
6 H 0.0000 0.0000 0.6715
7 H 0.0000 0.6444 0.3076
8 H 0.3556 0.3556 0.3076
9 H 0.6444 0.0000 0.3076
10 O 0.0000 0.0000 0.7978
11 O 0.0000 0.5069 0.5263
12 O 0.0000 0.6647 0.1826
13 O 0.3333 0.6667 0.8066
14 O 0.3353 0.3353 0.1826
15 O 0.4931 0.4931 0.5263
16 O 0.5069 0.0000 0.5263
17 O 0.6647 0.0000 0.1826
18 O 0.6667 0.3333 0.8066

---

Entry 2:
Entry from OQMD via LeMat-Bulk: a geometry-optimized DySiHO4 structure (PBE-GGA).

Offset from the most stable computed form = 0.022 eV/atom

a = 7.0873 Å, b = 6.2490 Å, c = 6.8733 Å
α = 90.00°, β = 98.28°, γ = 90.00°
Positions (direct):
1 Dy 0.2237 0.1374 0.4980
2 Dy 0.2237 0.3626 0.9980
3 Dy 0.7763 0.6374 0.0020
4 Dy 0.7763 0.8626 0.5020
5 Si 0.2482 0.6223 0.4878
6 Si 0.2482 0.8777 0.9878
7 Si 0.7518 0.1223 0.0122
8 Si 0.7518 0.3777 0.5122
9 H 0.3953 0.6298 0.8380
10 H 0.3953 0.8702 0.3380
11 H 0.6047 0.1298 0.6620
12 H 0.6047 0.3702 0.1620
13 O 0.0757 0.7066 0.9802
14 O 0.0757 0.7934 0.4802
15 O 0.2357 0.0553 0.8151
16 O 0.2357 0.4447 0.3151
17 O 0.2849 0.0205 0.1885
18 O 0.2849 0.4795 0.6885
19 O 0.4336 0.7077 0.9713
20 O 0.4336 0.7923 0.4713
21 O 0.5664 0.2077 0.5287
22 O 0.5664 0.2923 0.0287
23 O 0.7151 0.5205 0.3115
24 O 0.7151 0.9795 0.8115
25 O 0.7643 0.5553 0.6849
26 O 0.7643 0.9447 0.1849
27 O 0.9243 0.2066 0.5198
28 O 0.9243 0.2934 0.0198

---

Entry 3:
Entry from OQMD via LeMat-Bulk: a geometry-optimized TbDyH2O4 structure (PBE-GGA).

DFT total energy = -7.1225 eV/atom

a = 4.3102 Å, b = 3.6053 Å, c = 5.9426 Å
α = 90.00°, β = 109.75°, γ = 90.00°
Positions (direct):
1 Tb 0.0000 0.0000 0.0000
2 Dy 0.3263 0.5000 0.6180
3 H 0.6540 0.0000 0.4059
4 H 0.6723 0.5000 0.2121
5 O 0.4177 0.0000 0.3747
6 O 0.4316 0.0000 0.8636
7 O 0.8939 0.5000 0.7526
8 O 0.9088 0.5000 0.2443